No. 1
GdTh2Mg: relaxed, PBE.

ΔE_f (meV per atom): 64
Space group: No. 123

Geometry as extended XYZ:
```
4
Lattice="4.9158 0.0000 0.0000 0.0000 4.9158 0.0000 0.0000 0.0000 5.0070" Properties=species:S:1:pos:R:3 pbc="T T T"
Gd 0.0000 0.0000 0.0000
Th 0.0000 2.4579 2.5035
Th 2.4579 0.0000 2.5035
Mg 2.4579 2.4579 0.0000
```

No. 2
CaAs2Se2: relaxed, PBE.

Raw formation energy (eV per atom): -0.1892
Space group: No. 139

Geometry as extended XYZ:
```
10
Lattice="3.8623 0.0000 0.0000 0.0000 3.8623 0.0000 0.0000 0.0000 20.2972" Properties=species:S:1:pos:R:3 pbc="T T T"
Ca 0.0000 0.0000 0.0000
Ca 1.9312 1.9312 10.1486
As 0.0000 0.0000 8.9650
As 0.0000 0.0000 11.3321
As 1.9312 1.9312 1.1835
As 1.9312 1.9312 19.1136
Se 0.0000 1.9312 5.0743
Se 0.0000 1.9312 15.2229
Se 1.9312 0.0000 5.0743
Se 1.9312 0.0000 15.2229
```

No. 3
Dy5TmTh4: relaxed, PBE.

ΔE_f (meV per atom): 211
Space group: No. 2

Geometry as extended XYZ:
```
10
Lattice="3.4863 0.0000 0.0000 -1.7342 9.0125 0.0000 -0.0049 -0.9066 10.5437" Properties=species:S:1:pos:R:3 pbc="T T T"
Dy 0.0000 0.0000 0.0000
Dy 0.0013 4.7768 9.5168
Dy 0.0004 6.1191 2.7868
Dy 1.7468 1.9868 7.7569
Dy 1.7458 3.3290 1.0269
Tm -0.0025 -0.4533 5.2719
Th 0.0022 2.9020 4.3889
Th 0.0030 7.6329 7.8762
Th 1.7442 0.4730 2.6676
Th 1.7449 5.2039 6.1548
```

No. 4
Ga2Ni4Pd: relaxed, PBE.

ΔE_f (meV per atom): -222
Space group: No. 136

Geometry as extended XYZ:
```
14
Lattice="6.8276 0.0000 0.0000 0.0000 6.8276 0.0000 0.0000 0.0000 3.9199" Properties=species:S:1:pos:R:3 pbc="T T T"
Ga 1.3661 1.3661 0.0000
Ga 2.0477 4.7798 1.9600
Ga 4.7798 2.0477 1.9600
Ga 5.4615 5.4615 0.0000
Ni 0.7509 4.3174 0.0000
Ni 0.9036 2.6628 1.9600
Ni 2.5101 6.0766 0.0000
Ni 2.6628 0.9036 1.9600
Ni 4.1647 5.9239 1.9600
Ni 4.3174 0.7509 0.0000
Ni 5.9239 4.1647 1.9600
Ni 6.0766 2.5101 0.0000
Pd 0.0000 0.0000 1.9600
Pd 3.4138 3.4138 0.0000
```

Number 1 is which compound?
GdTh2Mg